# 1
A plane-wave DFT calculation with PBE was carried out for FePb3Cl after structural relaxation.

Lattice parameters (Å, degrees): 5.1383 5.1383 5.1383 90.00 90.00 90.00
Space group Pm-3m (No. 221)
Asymmetric unit:
Fe (0.0000, 0.0000, 0.0000) [1 per cell]
Pb (0.0000, 0.0000, 0.5000) [3 per cell]
Cl (0.5000, 0.5000, 0.5000) [1 per cell]

Values from the calculation:
Distance to the lowest polymorph of the same formula ... 0.00 eV per formula unit
Formation energy from raw total energies ... -0.0521 eV per atom



# 2
A plane-wave DFT calculation with PBE was carried out for TlSi2Pb after structural relaxation.

Lattice parameters (Å, degrees): 6.5795 9.1189 3.1930 90.00 90.00 90.00
Space group Cmmm (No. 65)
Asymmetric unit:
Tl (0.0000, 0.0000, 0.0000) [2 per cell]
Si (0.2500, 0.2500, 0.5000) [4 per cell]
Pb (0.0000, 0.5000, 0.0000) [2 per cell]

Values from the calculation:
Distance to the lowest polymorph of the same formula ... 1.75 eV per formula unit
Formation energy from raw total energies ... 0.6317 eV per atom